Below is a relaxed KNaHfGa2 crystal, with properties calculated at the PBEsol level.

Output
- E: -3.408 eV per atom
- Crystal system: tetragonal
- Formation energy: 0.54 eV/atom

Cell: 5.224 5.224 5.981 Å, 90.00 90.00 90.00°
Space group P4/mmm (No. 123)
Asymmetric unit:
K 0.000 0.000 0.000
Na 0.500 0.500 0.000
Hf 0.500 0.500 0.500
Ga 0.000 0.500 0.500